Record 1
NaRe2Bi | Alexandria via LeMat-Bulk | PBE-GGA | relaxed; total magnetization = 0.00 μB/cell; ΔH_f (0 K) = 1.611 eV per atom; SG = I-42d, No. 122
1.0
8.1684 0.0000 0.0000
0.0000 8.1684 0.0000
4.0842 4.0842 2.5720
Re Bi Na
4 2 2
Cartesian
10.2105 10.5255 1.9290 Re
6.1263 5.8113 1.9290 Re
1.7271 6.1263 0.6430 Re
6.4413 2.0421 0.6430 Re
8.1684 4.0842 1.2860 Bi
0.0000 0.0000 0.0000 Bi
4.0842 8.1684 1.2860 Na
4.0842 4.0842 0.0000 Na


Record 2
Nd2Fe14Si3 | Alexandria via LeMat-Bulk | PBE-GGA | relaxed; total magnetization = 27.71 μB/cell; uncorrected formation energy = -2.005 eV per formula unit; SG = C2/m, No. 12
1.0
-2.9064 -0.1613 5.7207
1.4281 -6.0274 1.6824
5.1973 1.4426 3.4831
Fe Nd Si
14 2 3
Cartesian
2.6550 0.8500 4.1986 Fe
-1.4532 -0.0807 2.8604 Fe
-0.1318 -3.7917 5.3665 Fe
0.7141 -3.0137 0.8412 Fe
0.3072 -4.5104 2.7268 Fe
3.9563 -0.9110 2.9863 Fe
-0.2372 -3.8351 7.9000 Fe
-1.7854 -1.6784 4.6764 Fe
3.9983 -3.1167 4.3037 Fe
3.8509 -0.9544 5.5198 Fe
-0.2793 -1.6295 6.5826 Fe
1.9949 -4.7073 4.4638 Fe
1.0641 -5.5962 6.6876 Fe
1.7241 -0.0389 6.4224 Fe
1.2066 -1.7081 3.7764 Nd
2.5125 -3.0381 7.1099 Nd
3.5759 -4.1093 9.8074 Si
0.1432 -0.6369 1.0788 Si
2.5987 0.7213 1.7415 Si


Record 3
KLiMo | Alexandria via LeMat-Bulk | PBE-GGA | relaxed; total magnetization = 4.93 μB/cell; ΔH_f (0 K) = 1.877 eV per atom; SG = F-43m, No. 216
1.0
5.5692 0.0000 0.0000
2.7846 4.8231 0.0000
2.7846 1.6077 4.5472
K Li Mo
1 1 1
Cartesian
8.3538 4.8231 3.4104 K
0.0000 0.0000 0.0000 Li
5.5692 3.2154 2.2736 Mo


Record 4
La5Se | Alexandria via LeMat-Bulk | PBE-GGA | relaxed; total magnetization = 0.00 μB/cell; uncorrected formation energy = -3.169 eV per formula unit; SG = Cm, No. 8
1.0
3.3335 -0.6951 5.2639
5.4964 1.3078 2.7171
-2.0934 7.5423 4.1536
Se La
1 5
Cartesian
6.7089 0.5030 6.0935 Se
-0.8487 3.2441 1.8305 La
1.8219 6.0517 6.3067 La
1.9690 2.2300 3.4261 La
0.3692 0.2265 0.4917 La
4.5752 5.4138 8.1433 La


Record 5
LaHgMo2 | Alexandria via LeMat-Bulk | PBE-GGA | relaxed; total magnetization = 0.00 μB/cell; ΔH_f (0 K) = 0.351 eV per atom; SG = Cmm2, No. 35
1.0
3.0456 -0.0006 0.0000
-1.2234 2.7891 0.0000
0.0000 0.0000 9.9026
Mo Hg La
2 1 1
Cartesian
0.9111 1.3943 2.2123 Mo
0.0000 0.0000 0.3426 Mo
0.0000 0.0000 4.6824 Hg
0.9111 1.3943 7.6167 La


Record 6
InAgS2 | Alexandria via LeMat-Bulk | PBE-GGA | relaxed; total magnetization = 0.00 μB/cell; uncorrected formation energy = -1.508 eV per formula unit; SG = R-3m, No. 166
1.0
-6.4955 4.3854 0.2317
-6.0574 3.1053 3.8913
-4.0189 6.1904 2.6465
In S Ag
1 2 1
Cartesian
-8.2859 6.8406 3.3848 In
-1.7390 1.4356 0.7104 S
-14.8329 12.2455 6.0591 S
0.0000 0.0000 0.0000 Ag


Record 7
ScAu2F | Alexandria via LeMat-Bulk | PBE-GGA | relaxed; total magnetization = 0.00 μB/cell; uncorrected formation energy = -3.341 eV per formula unit; SG = Fm-3m, No. 225
1.0
3.3929 2.0625 2.3893
-0.5434 4.3459 1.5140
-0.5274 0.8268 4.5291
F Au Sc
1 2 1
Cartesian
0.0000 0.0000 0.0000 F
0.5805 1.8088 2.1081 Au
1.7415 5.4265 6.3243 Au
1.1610 3.6176 4.2162 Sc


Record 8
Tb2Sm12Er5 | Alexandria via LeMat-Bulk | PBE-GGA | relaxed; total magnetization = 0.00 μB/cell; ΔH_f (0 K) = 0.104 eV per atom; SG = C2/m, No. 12
1.0
11.6398 0.0000 0.0000
-5.8199 8.8132 1.2282
0.0000 -2.1794 5.7889
Tb Sm Er
2 12 5
Cartesian
8.9838 0.0000 0.0000 Tb
2.6560 0.0000 0.0000 Tb
2.8226 3.5855 5.3774 Sm
2.8984 0.4833 3.8204 Sm
-2.9215 6.1505 3.1967 Sm
0.0000 6.2415 5.2940 Sm
2.9215 6.1505 3.1967 Sm
2.9973 3.0483 1.6396 Sm
-2.8226 3.5855 5.3774 Sm
5.8199 0.3922 1.7231 Sm
8.6425 3.0483 1.6396 Sm
0.0000 -0.0406 6.0805 Sm
8.7413 0.4833 3.8204 Sm
5.8199 6.6744 0.9365 Sm
0.0000 5.3819 1.6017 Er
0.0000 -1.0897 2.8944 Er
5.8199 1.2518 5.4154 Er
0.0000 2.5888 3.7210 Er
5.8199 4.0449 3.2961 Er